## K3MgTa (GGA-PBEsol)

Data for K3MgTa after structural relaxation.

Theoretical density (g/cm³): 2.0
Total moment (μB per cell): 4.5
DFT total energy (Ha/atom): -0.069
Formation energy (eV/atom): 1.67
N(E_F) (states/eV per atom): 1.95

The structure in CIF format:
```
data_K3MgTa
_space_group_name_H-M_alt 'P m -3 m'
_space_group_IT_number 221
_space_group_name_Hall '-P 4 2 3'
_cell_length_a 6.402
_cell_length_b 6.402
_cell_length_c 6.402
_cell_angle_alpha 90.00
_cell_angle_beta 90.00
_cell_angle_gamma 90.00
loop_
_atom_site_label
_atom_site_fract_x
_atom_site_fract_y
_atom_site_fract_z
K1 0.000 0.000 0.500
Mg1 0.000 0.000 0.000
Ta1 0.500 0.500 0.500
```